A relaxed Zr2ScAlRu crystal, computed with PBE-GGA.

Calculated values
Fermi-level density of states ... 1.309 states/eV per atom
Energy of formation from the pure elements ... 2.5 eV/f.u.
Energy ... -33.93 eV/cell

Unit cell a=5.0656 b=4.4297 c=5.0656 alpha=90.00 beta=90.00 gamma=90.00
With the nearest neighbours (Å) after each atom.
Atoms (fractional coordinates):
Sc 0.5000 0.5000 0.5000  8 Zr 3.36, 4 Ru 3.58
Ru 0.0000 0.5000 0.0000  2 Al 2.21
Al 0.0000 0.0000 0.0000  2 Ru 2.21
Zr 0.0000 0.0000 0.5000  2 Al 2.53
Zr 0.5000 0.0000 0.0000  2 Al 2.53